Material: NaGdBeS3
Method: DFT, PBE
State: optimized geometry

Cell and atoms, written as POSCAR:
```
NaGdBeS3
1.0
1.9100 -6.4261 0.0000
1.9100 6.4261 0.0000
0.0000 0.0000 10.6069
Na Gd Be S
2 2 2 6
Direct
0.2479 0.7521 0.7500
0.7521 0.2479 0.2500
0.0000 0.0000 0.0000
0.0000 0.0000 0.5000
0.4632 0.5368 0.2500
0.5368 0.4632 0.7500
0.0651 0.9349 0.2500
0.3692 0.6308 0.0901
0.3692 0.6308 0.4099
0.6308 0.3692 0.5901
0.6308 0.3692 0.9099
0.9349 0.0651 0.7500
```

Summary:
space group: Cmcm (63)
uncorrected energy: -5.17 eV/atom